Material: CuTc2Br
Method: DFT, PBEsol
State: relaxed

Lattice parameters (Å, degrees): 3.135 4.042 5.446 111.43 106.28 91.15
Element x y z (fractional)
Br  0.500  0.000  0.000
Tc  0.000  0.000  0.500
Cu  0.000  0.500  0.000
Tc  0.500  0.500  0.500

- Symmetry: C2/m, No. 12
- Total magnetization: 0.00 μB/f.u.
- Raw formation energy: 0.911 eV per atom
- Electronic total energy: -6.273 eV/atom
- Calculated volume: 61 Å³/f.u.
- Offset from the most stable computed form: 277 meV per atom

Material: K2Au
Method: DFT, PBEsol
State: relaxed

Lattice parameters (Å, degrees): 3.937 3.937 16.081 97.03 97.03 90.00
Element x y z (fractional)
K  0.559  0.559  0.117
Au  0.000  0.000  0.000
K  0.809  0.309  0.617
Au  0.250  0.750  0.500
K  0.441  0.441  0.883
K  0.691  0.191  0.383

- Symmetry: I4_1/amd, No. 141
- DFT formation energy: -0.09 eV/atom
- Total magnetization: 0.00 μB/f.u.
- Electronic total energy: -2.154 eV/atom
- Calculated volume: 123 Å³/f.u.

Material: CoSiSe2Br
Method: DFT, PBEsol
State: relaxed

Lattice parameters (Å, degrees): 4.771 4.771 4.892 90.00 90.00 90.00
Last column: magnetic moment on the atom in μB.
Element x y z (fractional)
Co  0.500  0.500  0.500  2.29
Se  0.000  0.500  0.000  0.09
Se  0.500  0.000  0.000  0.09
Si  0.000  0.000  0.000  0.00
Br  0.000  0.000  0.500  0.05

- Symmetry: P4/mmm, No. 123
- Total magnetization: 2.67 μB/f.u.
- Raw formation energy: 0.742 eV per atom
- Electronic total energy: -3.869 eV/atom
- Calculated volume: 111 Å³/f.u.

Material: MgCoSe2Br
Method: DFT, PBEsol
State: relaxed

Lattice parameters (Å, degrees): 4.630 4.630 4.938 90.00 90.00 90.00
Last column: magnetic moment on the atom in μB.
Element x y z (fractional)
Mg  0.500  0.500  0.500  -0.01
Co  0.000  0.000  0.000  0.90
Br  0.000  0.000  0.500  0.02
Se  0.000  0.500  0.000  0.13
Se  0.500  0.000  0.000  0.13

- Symmetry: P4/mmm, No. 123
- Total magnetization: 1.31 μB/f.u.
- Raw formation energy: -0.074 eV per atom
- Electronic total energy: -3.879 eV/atom
- Calculated volume: 106 Å³/f.u.

Material: LiCaRh2
Method: DFT, PBEsol
State: relaxed

Lattice parameters (Å, degrees): 2.978 4.627 5.506 114.85 105.69 90.00
Element x y z (fractional)
Ca  0.494  0.494  0.988
Rh  0.008  0.008  0.015
Rh  0.726  0.226  0.453
Li  0.272  0.772  0.544

- Symmetry: Imm2, No. 44
- DFT formation energy: -0.01 eV/atom
- Total magnetization: 0.00 μB/f.u.
- Electronic total energy: -5.101 eV/atom
- Calculated volume: 66 Å³/f.u.

Material: AlTl2Ir
Method: DFT, PBEsol
State: relaxed

Lattice parameters (Å, degrees): 4.308 4.308 5.129 114.83 114.83 90.00
Element x y z (fractional)
Tl  0.250  0.750  0.500
Ir  0.000  0.000  0.000
Tl  0.750  0.250  0.500
Al  0.500  0.500  0.000

- Symmetry: I4/mmm, No. 139
- DFT formation energy: 0.45 eV/atom
- Total magnetization: 0.00 μB/f.u.
- Electronic total energy: -4.344 eV/atom
- Calculated volume: 77 Å³/f.u.
- Offset from the most stable computed form: 495 meV per atom

Material: MnFe2Si
Method: DFT, PBEsol
State: relaxed

Lattice parameters (Å, degrees): 2.505 2.505 7.813 80.77 80.77 60.00
Last column: magnetic moment on the atom in μB.
Element x y z (fractional)
Fe  0.999  0.999  0.003  0.75
Mn  0.499  0.499  0.502  -0.62
Fe  0.751  0.751  0.748  -0.08
Si  0.251  0.251  0.248  -0.01

- Symmetry: R3m, No. 160
- Total magnetization: 0.01 μB/f.u.
- Raw formation energy: -0.083 eV per atom
- Electronic total energy: -8.441 eV/atom
- Calculated volume: 42 Å³/f.u.

Material: Dy6FeTe2
Method: DFT, PBEsol
State: relaxed

Lattice parameters (Å, degrees): 3.881 8.176 8.176 120.00 90.00 90.00
Element x y z (fractional)
Dy  0.500  0.397  0.397
Dy  0.500  0.000  0.603
Dy  0.000  0.000  0.235
Fe  0.500  0.000  0.000
Dy  0.500  0.603  0.000
Dy  0.000  0.765  0.765
Dy  0.000  0.235  0.000
Te  0.000  0.333  0.667
Te  0.000  0.667  0.333

- Symmetry: P-62m, No. 189
- Total magnetization: 0.00 μB/f.u.
- Raw formation energy: -0.653 eV per atom
- Electronic total energy: -5.751 eV/atom
- Calculated volume: 225 Å³/f.u.

Material: Cs3YIr
Method: DFT, PBEsol
State: relaxed

Lattice parameters (Å, degrees): 6.664 6.664 6.664 90.00 90.00 90.00
Last column: magnetic moment on the atom in μB.
Element x y z (fractional)
Cs  0.000  0.500  0.000  0.06
Cs  0.500  0.000  0.000  0.06
Cs  0.000  0.000  0.500  0.06
Ir  0.500  0.500  0.500  1.50
Y  0.000  0.000  0.000  1.15

- Symmetry: Pm-3m, No. 221
- DFT formation energy: 1.90 eV/atom
- Total magnetization: 4.29 μB/f.u.
- Electronic total energy: -1.991 eV/atom
- Calculated volume: 296 Å³/f.u.

Material: GaFe2CoC
Method: DFT, PBEsol
State: relaxed

Lattice parameters (Å, degrees): 3.635 3.635 4.086 90.00 90.00 90.00
Last column: magnetic moment on the atom in μB.
Element x y z (fractional)
C  0.000  0.000  0.000  -0.08
Fe  0.500  0.000  0.000  1.33
Co  0.500  0.500  0.500  1.35
Ga  0.000  0.000  0.500  -0.07
Fe  0.000  0.500  0.000  1.33

- Symmetry: P4/mmm, No. 123
- DFT formation energy: 0.33 eV/atom
- Total magnetization: 3.78 μB/f.u.
- Electronic total energy: -7.404 eV/atom
- Calculated volume: 54 Å³/f.u.

Material: CaScNbB2
Method: DFT, PBEsol
State: relaxed

Lattice parameters (Å, degrees): 4.296 4.296 4.407 90.00 90.00 90.00
Element x y z (fractional)
Sc  0.000  0.000  0.000
Nb  0.500  0.500  0.500
B  0.500  0.000  0.000
B  0.000  0.500  0.000
Ca  0.000  0.000  0.500

- Symmetry: P4/mmm, No. 123
- DFT formation energy: 1.79 eV/atom
- Total magnetization: 0.00 μB/f.u.
- Electronic total energy: -4.927 eV/atom
- Calculated volume: 81 Å³/f.u.

Material: TlAsF2
Method: DFT, PBEsol
State: relaxed

Lattice parameters (Å, degrees): 4.461 4.461 4.461 60.00 60.00 60.00
Last column: magnetic moment on the atom in μB.
Element x y z (fractional)
As  0.000  0.000  0.000  0.36
Tl  0.500  0.500  0.500  0.03
F  0.250  0.250  0.250  0.08
F  0.750  0.750  0.750  0.08

- Symmetry: Fm-3m, No. 225
- Total magnetization: 0.90 μB/f.u.
- Raw formation energy: -0.707 eV per atom
- Electronic total energy: -3.604 eV/atom
- Calculated volume: 63 Å³/f.u.

Material: K2Nb6AgP3O24
Method: DFT, PBEsol
State: relaxed

Lattice parameters (Å, degrees): 8.520 8.520 8.493 104.62 104.62 104.10
Element x y z (fractional)
O  0.439  0.639  0.764
O  0.579  0.716  0.125
O  0.284  0.421  0.875
O  0.678  0.927  0.781
O  0.426  0.879  0.295
Nb  0.644  0.843  0.959
O  0.764  0.447  0.637
O  0.712  0.131  0.583
Ag  0.494  0.506  0.500
O  0.932  0.790  0.684
P  0.268  0.497  0.729
O  0.239  0.354  0.560
Nb  0.964  0.647  0.846
Nb  0.033  0.152  0.348
Nb  0.848  0.967  0.652
O  0.869  0.288  0.417
Nb  0.157  0.356  0.041
K  0.922  0.587  0.343
O  0.073  0.322  0.219
O  0.121  0.574  0.705
O  0.973  0.027  0.500
O  0.025  0.502  0.978
O  0.553  0.236  0.363
O  0.847  0.002  0.147
O  0.998  0.153  0.853
Nb  0.353  0.036  0.154
O  0.309  0.210  0.072
O  0.790  0.691  0.928
O  0.210  0.068  0.316
O  0.361  0.561  0.236
K  0.413  0.078  0.657
O  0.646  0.761  0.440
O  0.154  0.846  0.000
P  0.503  0.732  0.271
P  0.728  0.272  0.500
O  0.498  0.975  0.022

- Symmetry: C2, No. 5
- Total magnetization: 0.00 μB/f.u.
- Raw formation energy: -2.359 eV per atom
- Electronic total energy: -8.300 eV/atom
- Calculated volume: 545 Å³/f.u.

Material: Na2S
Method: DFT, PBEsol
State: relaxed

Lattice parameters (Å, degrees): 4.268 7.084 8.343 90.00 90.00 90.00
Element x y z (fractional)
S  0.750  0.247  0.386
S  0.250  0.753  0.614
Na  0.250  0.645  0.928
Na  0.750  0.355  0.072
Na  0.750  0.855  0.428
Na  0.250  0.145  0.572
Na  0.250  0.024  0.168
Na  0.750  0.976  0.832
Na  0.750  0.476  0.668
S  0.250  0.253  0.886
S  0.750  0.747  0.114
Na  0.250  0.524  0.332

- Symmetry: Pnma, No. 62
- Total magnetization: 0.00 μB/f.u.
- Raw formation energy: -1.035 eV per atom
- Electronic total energy: -3.429 eV/atom
- Calculated volume: 63 Å³/f.u.

Material: Ce3Si2
Method: DFT, PBEsol
State: relaxed

Lattice parameters (Å, degrees): 4.041 7.550 7.550 90.00 90.00 90.00
Last column: magnetic moment on the atom in μB.
Element x y z (fractional)
Si  0.000  0.387  0.887  -0.01
Si  0.000  0.113  0.387  -0.01
Ce  0.500  0.681  0.819  0.35
Ce  0.000  0.500  0.500  0.44
Ce  0.500  0.819  0.319  0.35
Ce  0.000  0.000  0.000  0.44
Si  0.000  0.887  0.613  -0.01
Si  0.000  0.613  0.113  -0.01
Ce  0.500  0.181  0.681  0.35
Ce  0.500  0.319  0.181  0.35

- Symmetry: P4/mbm, No. 127
- Total magnetization: 1.37 μB/f.u.
- Raw formation energy: -0.542 eV per atom
- Electronic total energy: -6.798 eV/atom
- Calculated volume: 115 Å³/f.u.

Material: Pd7Se2
Method: DFT, PBEsol
State: relaxed

Lattice parameters (Å, degrees): 5.338 5.526 9.345 93.70 90.00 90.00
Element x y z (fractional)
Pd  0.101  0.967  0.148
Pd  0.601  0.033  0.352
Pd  0.500  0.500  0.500
Se  0.271  0.775  0.878
Pd  0.342  0.426  0.207
Pd  0.083  0.206  0.426
Se  0.771  0.225  0.622
Pd  0.658  0.574  0.793
Pd  0.917  0.794  0.574
Pd  0.158  0.426  0.707
Se  0.729  0.225  0.122
Pd  0.399  0.967  0.648
Pd  0.583  0.794  0.074
Pd  0.417  0.206  0.926
Pd  0.899  0.033  0.852
Se  0.229  0.775  0.378
Pd  0.842  0.574  0.293
Pd  0.000  0.500  0.000

- Symmetry: P2_1/c, No. 14
- Total magnetization: 0.00 μB/f.u.
- Raw formation energy: -0.180 eV per atom
- Electronic total energy: -5.671 eV/atom
- Calculated volume: 138 Å³/f.u.

Material: TlAgPSe3
Method: DFT, PBEsol
State: relaxed

Lattice parameters (Å, degrees): 9.554 10.030 12.437 90.00 90.00 96.41
Element x y z (fractional)
Se  0.588  0.761  0.071
Se  0.395  0.898  0.810
Tl  0.619  0.081  0.617
Se  0.412  0.239  0.929
Se  0.769  0.935  0.373
P  0.913  0.565  0.024
Se  0.557  0.265  0.409
Tl  0.885  0.321  0.321
Se  0.547  0.380  0.697
Se  0.605  0.102  0.190
P  0.087  0.435  0.976
Ag  0.271  0.325  0.684
Ag  0.229  0.675  0.184
Se  0.453  0.620  0.303
P  0.505  0.049  0.919
Tl  0.385  0.321  0.179
Se  0.296  0.552  0.000
Se  0.105  0.102  0.310
Ag  0.771  0.325  0.816
P  0.005  0.049  0.581
Se  0.047  0.380  0.803
Se  0.231  0.065  0.627
P  0.413  0.565  0.476
Tl  0.119  0.081  0.883
Se  0.953  0.620  0.197
Ag  0.709  0.791  0.553
Ag  0.791  0.209  0.053
Tl  0.881  0.919  0.117
Ag  0.209  0.791  0.947
P  0.995  0.951  0.419
Se  0.731  0.065  0.873
Se  0.057  0.265  0.091
Se  0.088  0.761  0.429
Se  0.704  0.448  0.000
Ag  0.729  0.675  0.316
Se  0.912  0.239  0.571
Tl  0.615  0.679  0.821
P  0.587  0.435  0.524
Se  0.443  0.735  0.591
Tl  0.381  0.919  0.383
Se  0.895  0.898  0.690
Se  0.269  0.935  0.127
Se  0.796  0.552  0.500
Se  0.204  0.448  0.500
Se  0.943  0.735  0.909
P  0.495  0.951  0.081
Ag  0.291  0.209  0.447
Tl  0.115  0.679  0.679

- Symmetry: P2_1/c, No. 14
- Total magnetization: 0.00 μB/f.u.
- Raw formation energy: -0.196 eV per atom
- Electronic total energy: -4.077 eV/atom
- Calculated volume: 148 Å³/f.u.

Material: Nd5S4
Method: DFT, PBEsol
State: relaxed

Lattice parameters (Å, degrees): 3.964 3.964 16.545 83.12 83.12 60.00
Element x y z (fractional)
Nd  0.302  0.302  0.095
S  0.602  0.602  0.194
S  0.799  0.799  0.602
Nd  0.500  0.500  0.500
Nd  0.698  0.698  0.905
Nd  0.098  0.098  0.706
S  0.398  0.398  0.806
S  0.201  0.201  0.398
Nd  0.902  0.902  0.294

- Symmetry: R-3m, No. 166
- Total magnetization: 0.00 μB/f.u.
- Raw formation energy: -1.843 eV per atom
- Electronic total energy: -6.661 eV/atom
- Calculated volume: 223 Å³/f.u.

Material: LaZrNO2
Method: DFT, PBEsol
State: relaxed

Lattice parameters (Å, degrees): 4.071 4.071 4.291 90.00 90.00 90.00
Element x y z (fractional)
O  0.500  0.000  0.000
Zr  0.000  0.000  0.000
O  0.000  0.500  0.000
N  0.000  0.000  0.500
La  0.500  0.500  0.500

- Symmetry: P4/mmm, No. 123
- Total magnetization: 0.00 μB/f.u.
- Raw formation energy: -2.643 eV per atom
- Electronic total energy: -9.335 eV/atom
- Calculated volume: 71 Å³/f.u.

Material: BaScTc2
Method: DFT, PBEsol
State: relaxed

Lattice parameters (Å, degrees): 3.079 3.079 9.816 80.98 80.98 60.00
Element x y z (fractional)
Tc  0.739  0.739  0.783
Ba  0.500  0.500  0.500
Tc  0.261  0.261  0.217
Sc  0.000  0.000  0.000

- Symmetry: R-3m, No. 166
- DFT formation energy: 0.88 eV/atom
- Total magnetization: 0.01 μB/f.u.
- Electronic total energy: -6.937 eV/atom
- Calculated volume: 79 Å³/f.u.